The following is a PBE calculation of a relaxed Ac5InCo crystal, from the Alexandria database.

Structure (POSCAR):
```
Ac5InCo
1.0
5.247 0.000 0.000
0.000 5.247 0.000
0.000 0.000 8.977
Ac In Co
5 1 1
Direct
0.000 0.000 0.000
0.000 0.500 0.304
0.000 0.500 0.696
0.500 0.000 0.304
0.500 0.000 0.696
0.500 0.500 0.000
0.000 0.000 0.500
```

Output
Total magnetic moment = 0.01 μB per cell
Calculated formation energy = -0.019 eV/atom
SG = P4/mmm (123)
DFT total energy = -4.360 eV/atom